*1*
Here is an optimized crystal structure of BeBiS2Cl from Alexandria. Energies are from PBE.

Cell lengths 4.657, 4.657, 4.231 Å; angles 90.00, 90.00, 90.00 degrees
Space group P4/mmm (No. 123)
Symmetry-distinct sites (fractional):
Be1 0.000 0.000 0.000
Bi1 0.500 0.500 0.500
S1 0.000 0.500 0.000
Cl1 0.000 0.000 0.500

*2*
Here is an optimized crystal structure of BeBiS2Cl from Alexandria. Energies are from PBE.

Cell lengths 5.243, 5.243, 5.370 Å; angles 90.00, 90.00, 90.00 degrees
Space group P4/mmm (No. 123)
Symmetry-distinct sites (fractional):
Be1 0.000 0.000 0.000
Bi1 0.500 0.500 0.500
S1 0.000 0.500 0.500
Cl1 0.500 0.500 0.000

Which of them is the most stable? Correct choice: *1*.

*1*
Here is an optimized crystal structure of BeBiSCl2 from Alexandria. Energies are from PBE.

Cell lengths 5.425, 5.425, 5.331 Å; angles 90.00, 90.00, 90.00 degrees
Space group P4/mmm (No. 123)
Symmetry-distinct sites (fractional):
Be1 0.000 0.000 0.000
Bi1 0.500 0.500 0.500
S1 0.500 0.500 0.000
Cl1 0.000 0.500 0.500

*2*
Here is an optimized crystal structure of BeBiSCl2 from Alexandria. Energies are from PBE.

Cell lengths 4.409, 4.409, 4.896 Å; angles 90.00, 90.00, 90.00 degrees
Space group P4/mmm (No. 123)
Symmetry-distinct sites (fractional):
Be1 0.000 0.000 0.000
Bi1 0.500 0.500 0.500
S1 0.000 0.000 0.500
Cl1 0.000 0.500 0.000

Which of them is the most stable? Correct choice: *2*.

*1*
Here is an optimized crystal structure of BeCo3Bi from Alexandria. Energies are from PBE.

Cell lengths 4.043, 4.043, 4.043 Å; angles 90.00, 90.00, 90.00 degrees
Space group Pm-3m (No. 221)
Symmetry-distinct sites (fractional):
Be1 0.000 0.000 0.000
Co1 0.000 0.000 0.500
Bi1 0.500 0.500 0.500

*2*
Here is an optimized crystal structure of BeCo3Bi from Alexandria. Energies are from PBE.

Cell lengths 4.741, 4.741, 4.741 Å; angles 90.00, 90.00, 90.00 degrees
Space group Pm-3m (No. 221)
Symmetry-distinct sites (fractional):
Be1 0.000 0.000 0.000
Co1 0.000 0.500 0.500
Bi1 0.500 0.500 0.500

Which of them is the most stable? Correct choice: *1*.

*1*
Here is an optimized crystal structure of BeCo2Bi from Alexandria. Energies are from PBE.

Cell lengths 5.991, 5.991, 5.991 Å; angles 90.00, 90.00, 90.00 degrees
Space group Fm-3m (No. 225)
Symmetry-distinct sites (fractional):
Be1 0.000 0.000 0.000
Co1 0.250 0.250 0.250
Bi1 0.000 0.000 0.500

*2*
Here is an optimized crystal structure of BeCo2Bi from Alexandria. Energies are from PBE.

Cell lengths 4.082, 4.082, 15.605 Å; angles 90.00, 90.00, 90.00 degrees
Space group I-42d (No. 122)
Symmetry-distinct sites (fractional):
Be1 0.000 0.000 0.000
Co1 0.115 0.250 0.125
Bi1 0.000 0.000 0.500

Which of them is the most stable? Correct choice: *1*.

*1*
Here is an optimized crystal structure of BeCo2Bi2 from Alexandria. Energies are from PBE.

Cell lengths 5.246, 5.246, 6.667 Å; angles 90.00, 90.00, 90.00 degrees
Space group I4/mmm (No. 139)
Symmetry-distinct sites (fractional):
Be1 0.000 0.000 0.000
Co1 0.000 0.000 0.318
Bi1 0.000 0.500 0.250

*2*
Here is an optimized crystal structure of BeCo2Bi2 from Alexandria. Energies are from PBE.

Cell lengths 6.498, 6.498, 4.096 Å; angles 90.00, 90.00, 90.00 degrees
Space group P4/mbm (No. 127)
Symmetry-distinct sites (fractional):
Be1 0.000 0.000 0.000
Co1 0.142 0.358 0.000
Bi1 0.173 0.673 0.500

Which of them is the most stable? Correct choice: *2*.

*1*
Here is an optimized crystal structure of Be2CrBi2 from Alexandria. Energies are from PBE.

Cell lengths 7.152, 7.152, 3.747 Å; angles 90.00, 90.00, 90.00 degrees
Space group P4/mbm (No. 127)
Symmetry-distinct sites (fractional):
Be1 0.114 0.386 0.000
Cr1 0.000 0.000 0.500
Bi1 0.175 0.675 0.500

*2*
Here is an optimized crystal structure of Be2CrBi2 from Alexandria. Energies are from PBE.

Cell lengths 3.205, 3.205, 19.685 Å; angles 90.00, 90.00, 90.00 degrees
Space group I4/mmm (No. 139)
Symmetry-distinct sites (fractional):
Be1 0.000 0.500 0.250
Cr1 0.000 0.000 0.000
Bi1 0.000 0.000 0.393

Which of them is the most stable? Correct choice: *2*.